No. 1
DFT (PBE-GGA) results for a relaxed structure of KPSCl2.

DOS at the Fermi energy (states/eV per atom): 2.479
Formation energy (no corrections) (meV per atom): 893
Total energy (eV for the cell shown): -9.9

a = 5.462 Å, b = 5.462 Å, c = 5.722 Å
α = 90.00°, β = 90.00°, γ = 90.00°
Positions (direct):
Cl (0.000, 0.500, 0.000)
Cl (0.500, 0.000, 0.000)
P (0.500, 0.500, 0.500)
S (0.000, 0.000, 0.500)
K (0.000, 0.000, 0.000)

=====

No. 2
DFT (PBE-GGA) results for a relaxed structure of SrYTe3Au.

DOS at the Fermi energy (states/eV per atom): 0.000
Formation energy (no corrections) (meV per atom): -1199
Total energy (eV for the cell shown): -56.1

a = 4.386 Å, b = 8.650 Å, c = 10.334 Å
α = 103.98°, β = 90.00°, γ = 90.00°
Positions (direct):
Sr (0.750, 0.792, 0.724)
Sr (0.250, 0.208, 0.276)
Y (0.250, 0.682, 0.169)
Y (0.750, 0.318, 0.831)
Te (0.750, 0.424, 0.146)
Te (0.250, 0.576, 0.854)
Te (0.250, 0.727, 0.471)
Te (0.750, 0.273, 0.529)
Te (0.250, 0.077, 0.861)
Te (0.750, 0.923, 0.139)
Au (0.750, 0.912, 0.407)
Au (0.250, 0.088, 0.593)

=====

No. 3
DFT (PBE-GGA) results for a relaxed structure of SrLa2Tc2N6.

DOS at the Fermi energy (states/eV per atom): 0.063
Formation energy (no corrections) (meV per atom): -583
Total energy (eV for the cell shown): -88.6

a = 5.814 Å, b = 5.814 Å, c = 7.277 Å
α = 66.45°, β = 66.45°, γ = 60.00°
Positions (direct):
N (0.267, 0.774, 0.692)
N (0.774, 0.267, 0.692)
N (0.733, 0.733, 0.308)
N (0.733, 0.226, 0.308)
N (0.226, 0.733, 0.308)
N (0.267, 0.267, 0.692)
Sr (0.000, 0.000, 0.000)
Tc (0.592, 0.592, 0.225)
Tc (0.408, 0.408, 0.775)
La (0.206, 0.206, 0.382)
La (0.794, 0.794, 0.618)

=====

No. 4
DFT (PBE-GGA) results for a relaxed structure of Y2RuPb.

DOS at the Fermi energy (states/eV per atom): 0.108
DFT formation energy (meV/atom): -147
Total energy (eV for the cell shown): -26.5

a = 5.013 Å, b = 5.013 Å, c = 5.013 Å
α = 60.00°, β = 60.00°, γ = 60.00°
Positions (direct):
Y (0.000, 0.000, 0.000)
Y (0.250, 0.250, 0.250)
Pb (0.500, 0.500, 0.500)
Ru (0.750, 0.750, 0.750)

=====

No. 5
DFT (PBE-GGA) results for a relaxed structure of Ce2Th7Tl2.

DOS at the Fermi energy (states/eV per atom): 1.948
DFT formation energy (meV/atom): 320
Total energy (eV for the cell shown): -65.0

a = 6.798 Å, b = 9.030 Å, c = 6.798 Å
α = 90.00°, β = 120.39°, γ = 90.00°
Positions (direct):
Th (0.000, 0.689, 0.500)
Th (0.500, 0.689, 0.000)
Th (0.500, 0.187, 0.500)
Th (0.000, 0.000, 0.000)
Th (0.000, 0.311, 0.500)
Th (0.500, 0.813, 0.500)
Th (0.500, 0.311, 0.000)
Ce (0.273, 0.000, 0.727)
Ce (0.727, 0.000, 0.273)
Tl (0.228, 0.500, 0.228)
Tl (0.772, 0.500, 0.772)

=====

No. 6
DFT (PBE-GGA) results for a relaxed structure of Be5Cd3.

DOS at the Fermi energy (states/eV per atom): 0.224
DFT formation energy (meV/atom): 360
Total energy (eV for the cell shown): -37.0

a = 7.238 Å, b = 7.388 Å, c = 8.126 Å
α = 104.86°, β = 85.01°, γ = 146.05°
Positions (direct):
Be (0.178, 0.467, 0.634)
Be (0.032, 0.272, 0.347)
Be (0.323, 0.919, 0.259)
Be (0.957, 0.730, 0.653)
Be (0.540, 0.252, 0.764)
Be (0.453, 0.736, 0.228)
Be (0.258, 0.749, 0.500)
Be (0.683, 0.083, 0.742)
Be (0.827, 0.532, 0.366)
Be (0.749, 0.263, 0.513)
Cd (0.674, 0.801, 0.495)
Cd (0.201, 0.284, 0.870)
Cd (0.173, 0.753, 0.900)
Cd (0.822, 0.244, 0.095)
Cd (0.322, 0.197, 0.501)
Cd (0.803, 0.718, 0.131)

=====

No. 7
DFT (PBE-GGA) results for a relaxed structure of Th2TaAu.

DOS at the Fermi energy (states/eV per atom): 0.997
DFT formation energy (meV/atom): 424
Total energy (eV for the cell shown): -28.3

a = 3.274 Å, b = 3.274 Å, c = 11.265 Å
α = 81.65°, β = 81.65°, γ = 60.00°
Positions (direct):
Au (0.500, 0.500, 0.500)
Th (0.911, 0.911, 0.266)
Th (0.089, 0.089, 0.734)
Ta (0.000, 0.000, 0.000)

=====

No. 8
DFT (PBE-GGA) results for a relaxed structure of Ti3CuOs.

DOS at the Fermi energy (states/eV per atom): 1.121
DFT formation energy (meV/atom): 651
Total energy (eV for the cell shown): -35.8

a = 4.734 Å, b = 4.734 Å, c = 4.734 Å
α = 90.00°, β = 90.00°, γ = 90.00°
Positions (direct):
Ti (0.000, 0.000, 0.500)
Ti (0.000, 0.500, 0.000)
Ti (0.500, 0.000, 0.000)
Cu (0.500, 0.500, 0.500)
Os (0.000, 0.000, 0.000)

=====

No. 9
DFT (PBE-GGA) results for a relaxed structure of CdIrOs2.

DOS at the Fermi energy (states/eV per atom): 1.456
DFT formation energy (meV/atom): 720
Total energy (eV for the cell shown): -29.4

a = 2.824 Å, b = 4.687 Å, c = 4.773 Å
α = 90.00°, β = 90.00°, γ = 90.00°
Positions (direct):
Os (0.500, 0.500, 0.000)
Os (0.000, 0.000, 0.000)
Cd (0.500, 0.000, 0.500)
Ir (0.000, 0.500, 0.500)

=====

No. 10
DFT (PBE-GGA) results for a relaxed structure of YZrIn.

DOS at the Fermi energy (states/eV per atom): 1.035
DFT formation energy (meV/atom): -114
Total energy (eV for the cell shown): -18.1

a = 3.406 Å, b = 3.406 Å, c = 7.844 Å
α = 90.00°, β = 90.00°, γ = 120.00°
Positions (direct):
Y (0.667, 0.333, 0.338)
In (0.000, 0.000, 0.990)
Zr (0.333, 0.667, 0.671)

=====

No. 11
DFT (PBE-GGA) results for a relaxed structure of TbPuSe2.

DOS at the Fermi energy (states/eV per atom): 2.454
Formation energy (no corrections) (meV per atom): -1676
Total energy (eV for the cell shown): -65.3

a = 5.820 Å, b = 5.820 Å, c = 7.135 Å
α = 114.07°, β = 114.07°, γ = 90.00°
Positions (direct):
Se (0.000, 0.500, 0.000)
Se (0.750, 0.750, 0.500)
Se (0.250, 0.250, 0.500)
Se (0.500, 0.000, 0.000)
Tb (0.500, 0.500, 0.000)
Tb (0.250, 0.750, 0.500)
Pu (0.000, 0.000, 0.000)
Pu (0.750, 0.250, 0.500)

=====

No. 12
DFT (PBE-GGA) results for a relaxed structure of Tc2HgCl.

DOS at the Fermi energy (states/eV per atom): 1.330
Formation energy (no corrections) (meV per atom): 971
Total energy (eV for the cell shown): -19.0

a = 4.864 Å, b = 5.574 Å, c = 2.972 Å
α = 75.15°, β = 88.66°, γ = 115.47°
Positions (direct):
Tc (0.000, 0.000, 0.000)
Tc (0.500, 0.000, 0.500)
Hg (0.500, 0.500, 0.000)
Cl (0.000, 0.500, 0.500)

=====

Which value of total energy does entry 10 give?
-18.1 eV for the cell shown

=====

What is the formula in the ninth record?
CdIrOs2

=====

Which formula does entry 10 have?
YZrIn

=====

The lowest DOS at the Fermi energy belongs to which entry?
SrYTe3Au